No. 1
{
  "formula": "BaBi",
  "functional": "GGA-PBE",
  "state": "optimized geometry",
  "lattice": [[10.216, 0.000, 0.000], [0.000, 10.216, 0.000], [0.000, 0.000, 7.126]],
  "species": ["Ba", "Ba", "Ba", "Ba", "Ba", "Ba", "Ba", "Ba", "Bi", "Bi", "Bi", "Bi", "Bi", "Bi", "Bi", "Bi"],
  "fractional_positions": [[0.927, 0.705, 0.500], [0.073, 0.295, 0.500], [0.295, 0.927, 0.500], [0.705, 0.073, 0.500], [0.794, 0.425, 0.000], [0.206, 0.575, 0.000], [0.575, 0.794, 0.000], [0.425, 0.206, 0.000], [0.726, 0.421, 0.500], [0.274, 0.579, 0.500], [0.579, 0.726, 0.500], [0.421, 0.274, 0.500], [0.920, 0.769, 0.000], [0.080, 0.231, 0.000], [0.231, 0.920, 0.000], [0.769, 0.080, 0.000]],
  "total_magnetization_mub_per_cell": 0.00,
  "total_energy_ha_per_atom": -0.12496
}

---

No. 2
{
  "formula": "SrCuN2O",
  "functional": "GGA-PBE",
  "state": "optimized geometry",
  "lattice": [[-2.508, -1.705, 3.892], [4.042, 0.438, 2.797], [-1.199, 4.213, 1.073]],
  "species": ["Sr", "O", "Cu", "N", "N"],
  "fractional_positions": [[0.000, 0.000, 0.000], [0.000, 0.000, 0.500], [0.500, 0.500, 0.500], [0.000, 0.500, 0.000], [0.500, 0.000, 0.000]],
  "total_magnetization_mub_per_cell": 5.00,
  "raw_formation_energy_ev_per_fu": 8.14
}

---

No. 3
{
  "formula": "CaZr2Br",
  "functional": "GGA-PBE",
  "state": "optimized geometry",
  "lattice": [[-3.847, 5.329, -0.416], [-2.129, -1.773, -3.026], [-2.560, -1.633, 2.758]],
  "species": ["Ca", "Br", "Zr", "Zr"],
  "fractional_positions": [[0.500, 0.000, 0.500], [0.500, 0.500, 0.000], [0.000, 0.000, 0.000], [0.000, 0.500, 0.500]],
  "total_magnetization_mub_per_cell": 0.00,
  "raw_formation_energy_ev_per_fu": 0.32,
  "e_above_lowest_polymorph_mev_per_atom": 386
}

---

No. 4
{
  "formula": "HfPaTa2",
  "functional": "GGA-PBE",
  "state": "optimized geometry",
  "lattice": [[-0.474, -2.509, -4.184], [3.964, -1.853, -2.210], [0.738, -4.845, -0.049]],
  "species": ["Pa", "Hf", "Ta", "Ta"],
  "fractional_positions": [[0.500, 0.500, 0.500], [0.000, 0.000, 0.000], [0.250, 0.250, 0.250], [0.750, 0.750, 0.750]],
  "total_magnetization_mub_per_cell": 0.00,
  "e_above_lowest_polymorph_mev_per_atom": 0
}

---

No. 5
{
  "formula": "Pr3Sm2Dy",
  "functional": "GGA-PBE",
  "state": "optimized geometry",
  "lattice": [[9.825, 0.000, 5.630], [3.528, 6.416, 5.232], [1.458, 0.807, 8.843]],
  "species": ["Pr", "Pr", "Pr", "Pr", "Pr", "Pr", "Sm", "Sm", "Sm", "Sm", "Dy", "Dy"],
  "fractional_positions": [[0.500, 0.250, 0.750], [0.500, 0.750, 0.250], [0.234, 0.016, 0.516], [0.766, 0.484, 0.984], [0.766, 0.984, 0.484], [0.234, 0.516, 0.016], [0.939, 0.306, 0.306], [0.550, 0.194, 0.194], [0.450, 0.806, 0.806], [0.061, 0.694, 0.694], [0.000, 0.500, 0.500], [0.000, 0.000, 0.000]],
  "total_magnetization_mub_per_cell": 0.00,
  "e_above_lowest_polymorph_mev_per_atom": 504
}

---

No. 6
{
  "formula": "Ba2TbThS6",
  "functional": "GGA-PBE",
  "state": "optimized geometry",
  "lattice": [[7.315, 0.000, -0.065], [0.000, 7.677, 0.000], [-0.027, 0.000, 10.533]],
  "species": ["Ba", "Ba", "Ba", "Ba", "Tb", "Tb", "Th", "Th", "S", "S", "S", "S", "S", "S", "S", "S", "S", "S", "S", "S"],
  "fractional_positions": [[0.023, 0.933, 0.249], [0.523, 0.567, 0.749], [0.977, 0.067, 0.751], [0.477, 0.433, 0.251], [0.500, 0.000, 0.500], [0.000, 0.500, 0.000], [0.500, 0.000, 0.000], [0.000, 0.500, 0.500], [0.297, 0.705, 0.052], [0.797, 0.795, 0.552], [0.703, 0.295, 0.948], [0.203, 0.205, 0.448], [0.301, 0.705, 0.450], [0.801, 0.795, 0.950], [0.699, 0.295, 0.550], [0.199, 0.205, 0.050], [0.902, 0.528, 0.248], [0.402, 0.972, 0.748], [0.098, 0.472, 0.752], [0.598, 0.028, 0.252]],
  "total_magnetization_mub_per_cell": 0.01,
  "raw_formation_energy_ev_per_fu": -18.76
}

---

No. 7
{
  "formula": "CoNi14Pd",
  "functional": "GGA-PBE",
  "state": "optimized geometry",
  "lattice": [[5.020, -0.301, 0.000], [-2.244, 4.501, 0.000], [0.000, 0.000, 8.202]],
  "species": ["Co", "Ni", "Ni", "Ni", "Ni", "Ni", "Ni", "Ni", "Ni", "Ni", "Ni", "Ni", "Ni", "Ni", "Ni", "Pd"],
  "fractional_positions": [[0.543, 0.457, 0.500], [0.209, 0.791, 0.000], [0.708, 0.292, 0.000], [0.040, 0.458, 0.500], [0.209, 0.293, 0.000], [0.542, 0.960, 0.500], [0.707, 0.791, 0.000], [0.380, 0.128, 0.754], [0.380, 0.128, 0.246], [0.872, 0.620, 0.754], [0.872, 0.620, 0.246], [0.376, 0.624, 0.748], [0.376, 0.624, 0.252], [0.873, 0.127, 0.756], [0.873, 0.127, 0.244], [0.042, 0.958, 0.500]],
  "total_magnetization_mub_per_cell": 11.79,
  "total_energy_ha_per_atom": -0.21311
}

---

No. 8
{
  "formula": "Cr4Ni6Pt7",
  "functional": "GGA-PBE",
  "state": "optimized geometry",
  "lattice": [[6.450, 0.000, -2.280], [-3.225, 5.586, -2.280], [0.000, 0.000, 6.841]],
  "species": ["Cr", "Cr", "Cr", "Cr", "Ni", "Ni", "Ni", "Ni", "Ni", "Ni", "Pt", "Pt", "Pt", "Pt", "Pt", "Pt", "Pt"],
  "fractional_positions": [[0.500, 0.000, 0.000], [0.500, 0.500, 0.500], [0.000, 0.500, 0.000], [0.000, 0.000, 0.500], [0.702, 0.000, 0.702], [0.702, 0.702, 0.000], [0.000, 0.298, 0.298], [0.298, 0.000, 0.298], [0.298, 0.298, 0.000], [0.000, 0.702, 0.702], [0.750, 0.500, 0.250], [0.250, 0.750, 0.500], [0.500, 0.750, 0.250], [0.750, 0.250, 0.500], [0.250, 0.500, 0.750], [0.500, 0.250, 0.750], [0.000, 0.000, 0.000]],
  "total_magnetization_mub_per_cell": 11.51,
  "total_energy_ha_per_atom": -0.24744
}

---

No. 9
{
  "formula": "SrHg2Os3O12",
  "functional": "GGA-PBE",
  "state": "optimized geometry",
  "lattice": [[-5.197, -4.477, -4.745], [-2.527, -7.865, 1.147], [-7.652, -2.719, 1.904]],
  "species": ["Sr", "Hg", "Hg", "Os", "Os", "Os", "O", "O", "O", "O", "O", "O", "O", "O", "O", "O", "O", "O"],
  "fractional_positions": [[0.000, 0.000, 0.000], [0.575, 0.575, 0.575], [0.425, 0.425, 0.425], [0.500, 0.000, 0.000], [0.000, 0.500, 0.000], [0.000, 0.000, 0.500], [0.310, 0.310, 0.926], [0.954, 0.954, 0.349], [0.349, 0.954, 0.954], [0.926, 0.310, 0.310], [0.954, 0.349, 0.954], [0.310, 0.926, 0.310], [0.690, 0.690, 0.074], [0.046, 0.046, 0.651], [0.651, 0.046, 0.046], [0.074, 0.690, 0.690], [0.046, 0.651, 0.046], [0.690, 0.074, 0.690]],
  "total_magnetization_mub_per_cell": 0.00,
  "raw_formation_energy_ev_per_fu": -17.95
}

---

No. 10
{
  "formula": "SmErTmAl",
  "functional": "GGA-PBE",
  "state": "optimized geometry",
  "lattice": [[5.340, 0.000, 0.000], [2.670, 4.624, 0.000], [2.670, 1.541, 4.360]],
  "species": ["Tm", "Al", "Sm", "Er"],
  "fractional_positions": [[0.500, 0.500, 0.500], [0.000, 0.000, 0.000], [0.750, 0.750, 0.750], [0.250, 0.250, 0.250]],
  "total_magnetization_mub_per_cell": 0.00,
  "e_above_lowest_polymorph_mev_per_atom": 133
}